A relaxed structure of BaSiPb2. Source: Alexandria, functional PBE.

The total magnetic moment is 0.0000 μB/atom. The space group is I4/mmm, No. 139. As for the raw formation energy: 0.005 eV per atom.

a = 6.2272 Å, b = 6.2272 Å, c = 6.2272 Å
α = 134.10°, β = 134.10°, γ = 66.93°
Last column: nearest neighbours and their distance in Å.
Sites, in units of the cell vectors:
Ba1 0.0000 0.0000 0.0000  4 Si 3.43, 8 Pb 3.56
Si1 0.5000 0.5000 0.0000  4 Ba 3.43, 8 Pb 3.56
Pb1 0.2500 0.7500 0.5000  4 Pb 3.43, 4 Ba 3.56, 4 Si 3.56
Pb2 0.7500 0.2500 0.5000  4 Pb 3.43, 4 Ba 3.56, 4 Si 3.56